(1)
DFT (PBE) results for a geometry-optimized NdY2Al3Si2Pt structure.

The calculation puts the total magnetic moment at 0.01 μB/cell. For the theoretical density, the calculation gives 6.035 g cm⁻³. For the energy, the calculation gives -5.947 eV per atom.

a = 4.251 Å, b = 12.120 Å, c = 6.989 Å
α = 90.00°, β = 90.00°, γ = 90.00°
Space group Amm2 (No. 38)
Unique sites:
Nd1 0.000 0.000 0.000 x2
Y1 0.000 0.209 0.626 x4
Al1 0.500 0.000 0.652 x2
Al2 0.500 0.119 0.303 x4
Si1 0.500 0.171 0.917 x4
Pt1 0.000 0.000 0.426 x2

---

(2)
DFT (PBE) results for a geometry-optimized Be2TcAg structure.

The calculation puts the total magnetic moment at 3.59 μB/cell. For the theoretical density, the calculation gives 7.237 g cm⁻³. For the energy, the calculation gives -4.591 eV per atom.

a = 5.901 Å, b = 5.901 Å, c = 5.901 Å
α = 90.00°, β = 90.00°, γ = 90.00°
Space group F-43m (No. 216)
Unique sites:
Be1 0.000 0.000 0.000 x4
Be2 0.250 0.250 0.250 x4
Tc1 0.000 0.000 0.500 x4
Ag1 0.250 0.250 0.750 x4

---

(3)
DFT (PBE) results for a geometry-optimized LiAgF4 structure.

The value obtained for the energy above the most stable polymorph in this dataset is 31 meV per atom. For the theoretical density, the calculation gives 4.724 g cm⁻³. For the energy, the calculation gives -3.615 eV per atom.

a = 5.187 Å, b = 5.187 Å, c = 9.972 Å
α = 90.00°, β = 90.00°, γ = 90.00°
Space group I4_1/a (No. 88, origin choice 2)
Unique sites:
Li1 0.000 0.250 0.125 x4
Ag1 0.000 0.250 0.625 x4
F1 0.167 0.076 0.879 x16